Entry 1:
Entry from Alexandria: an optimized crystal structure of DyCdSnHg (GGA-PBE).

Lattice parameters (Å, degrees): 4.376 4.562 4.863 90.00 90.00 90.00
Fractional coordinates of all 4 atoms:
Hg  0.500  0.500  0.000
Cd  0.000  0.000  0.000
Dy  0.000  0.500  0.500
Sn  0.500  0.000  0.500

Results
**Fermi-level density of states**: 1.3 states/eV/f.u.
**Spin magnetization**: 0.00 μB/cell
**E_form**: -1.7 eV per formula unit
**Calculated volume**: 24.27 A^3/atom

=====

Entry 2:
Entry from Alexandria: an optimized crystal structure of SrDyCdHg (GGA-PBE).

Lattice parameters (Å, degrees): 3.867 3.867 7.758 90.00 90.00 90.00
Fractional coordinates of all 4 atoms:
Dy  0.500  0.500  0.613
Hg  0.000  0.000  0.824
Sr  0.500  0.500  0.104
Cd  0.000  0.000  0.388

Results
**Fermi-level density of states**: 3.0 states/eV/f.u.
**Spin magnetization**: 0.00 μB/cell
**E_form**: -1.6 eV per formula unit
**Calculated volume**: 29.00 A^3/atom

=====

Entry 3:
Entry from Alexandria: an optimized crystal structure of SrDyCdHg (GGA-PBE).

Lattice parameters (Å, degrees): 5.465 5.465 5.465 60.00 60.00 60.00
Fractional coordinates of all 4 atoms:
Cd  0.500  0.500  0.500
Hg  0.000  0.000  0.000
Dy  0.250  0.250  0.250
Sr  0.750  0.750  0.750

Results
**Fermi-level density of states**: 3.7 states/eV/f.u.
**Spin magnetization**: 0.00 μB/cell
**E_form**: -1.4 eV per formula unit
**Calculated volume**: 28.85 A^3/atom